Record 1
DFT (GGA-PBE) results for a relaxed TmCl2 crystal.

Cell and atoms, written as POSCAR:
```
TmCl2
1.0
0.000 5.852 5.852
5.852 0.000 5.852
5.852 5.852 0.000
Tm Cl
2 4
direct
0.125 0.125 0.125
0.875 0.875 0.875
0.000 0.000 0.000
0.000 0.000 0.500
0.000 0.500 0.000
0.500 0.000 0.000
```

Properties
The value obtained for the electronic total energy is -4.109 eV per atom. Its crystal system is cubic.

=====

Record 2
DFT (GGA-PBE) results for a relaxed TmCl2 crystal.

Cell and atoms, written as POSCAR:
```
TmCl2
1.0
6.773 0.000 0.000
0.000 6.773 0.000
0.000 0.000 3.408
Tm Cl
2 4
direct
0.000 0.000 0.000
0.500 0.500 0.500
0.220 0.220 0.500
0.280 0.720 0.000
0.720 0.280 0.000
0.780 0.780 0.500
```

Properties
The value obtained for the electronic total energy is -4.535 eV per atom. Its crystal system is tetragonal.

=====

Record 3
DFT (GGA-PBE) results for a relaxed Tm2Cl crystal.

Cell and atoms, written as POSCAR:
```
Tm2Cl
1.0
0.000 4.593 4.593
4.593 0.000 4.593
4.593 4.593 0.000
Tm Cl
4 2
direct
0.000 0.000 0.000
0.000 0.000 0.500
0.000 0.500 0.000
0.500 0.000 0.000
0.375 0.375 0.375
0.625 0.625 0.625
```

Properties
The energy relative to the lowest polymorph listed for this composition comes out at 0.0 meV/atom. Its crystal system is cubic.

=====

Record 4
DFT (GGA-PBE) results for a relaxed TmCl2 crystal.

Cell and atoms, written as POSCAR:
```
TmCl2
1.0
6.219 0.000 0.000
0.000 12.268 0.000
0.000 0.000 7.073
Tm Cl
8 16
direct
0.179 0.098 0.048
0.179 0.402 0.548
0.321 0.598 0.048
0.321 0.902 0.548
0.679 0.098 0.452
0.679 0.402 0.952
0.821 0.598 0.452
0.821 0.902 0.952
0.020 0.044 0.706
0.020 0.456 0.206
0.190 0.708 0.375
0.190 0.792 0.875
0.310 0.208 0.375
0.310 0.292 0.875
0.480 0.544 0.706
0.480 0.956 0.206
0.520 0.044 0.794
0.520 0.456 0.294
0.690 0.708 0.125
0.690 0.792 0.625
0.810 0.208 0.125
0.810 0.292 0.625
0.980 0.544 0.794
0.980 0.956 0.294
```

Properties
The value obtained for the electronic total energy is -4.434 eV per atom. Its crystal system is orthorhombic.

=====

Record 5
DFT (GGA-PBE) results for a relaxed Tm3Cl crystal.

Cell and atoms, written as POSCAR:
```
Tm3Cl
1.0
-2.319 2.319 5.233
2.319 -2.319 5.233
2.319 2.319 -5.233
Tm Cl
3 1
direct
0.000 0.000 0.000
0.250 0.750 0.500
0.750 0.250 0.500
0.500 0.500 0.000
```

Properties
The value obtained for the electronic total energy is -3.840 eV per atom. Its crystal system is tetragonal.

=====

Record 6
DFT (GGA-PBE) results for a relaxed TmCl2 crystal.

Cell and atoms, written as POSCAR:
```
TmCl2
1.0
1.809 -3.167 0.000
1.809 3.167 0.000
0.000 0.000 13.025
Tm Cl
2 4
direct
0.166 0.834 0.500
0.834 0.166 0.000
0.166 0.834 0.873
0.497 0.503 0.627
0.503 0.497 0.127
0.834 0.166 0.373
```

Properties
The value obtained for the electronic total energy is -4.577 eV per atom. Its crystal system is orthorhombic.

=====

Record 7
DFT (GGA-PBE) results for a relaxed TmCl2 crystal.

Cell and atoms, written as POSCAR:
```
TmCl2
1.0
0.000 4.139 4.139
4.139 0.000 4.139
4.139 4.139 0.000
Tm Cl
2 4
direct
0.125 0.125 0.125
0.875 0.875 0.875
0.000 0.500 0.500
0.500 0.000 0.500
0.500 0.500 0.000
0.500 0.500 0.500
```

Properties
The value obtained for the electronic total energy is -2.978 eV per atom. Its crystal system is cubic.

=====

Record 8
DFT (GGA-PBE) results for a relaxed WCl4 crystal.

Cell and atoms, written as POSCAR:
```
WCl4
1.0
4.058 -4.327 0.000
4.058 4.327 0.000
0.000 0.000 3.563
W Cl
1 4
direct
0.000 0.000 0.000
0.192 0.808 0.500
0.283 0.283 0.000
0.717 0.717 0.000
0.808 0.192 0.500
```

Properties
The value obtained for the electronic total energy is -4.765 eV per atom. Its crystal system is orthorhombic.

=====

Record 9
DFT (GGA-PBE) results for a relaxed WCl4 crystal.

Cell and atoms, written as POSCAR:
```
WCl4
1.0
-2.408 2.408 5.254
2.408 -2.408 5.254
2.408 2.408 -5.254
W Cl
1 4
direct
0.000 0.000 0.000
0.000 0.500 0.500
0.219 0.219 0.000
0.500 0.000 0.500
0.781 0.781 0.000
```

Properties
The value obtained for the electronic total energy is -4.602 eV per atom. Its crystal system is tetragonal.

=====

Record 10
DFT (GGA-PBE) results for a relaxed WCl4 crystal.

Cell and atoms, written as POSCAR:
```
WCl4
1.0
6.088 -2.725 0.000
6.088 2.725 0.000
-4.805 0.000 9.627
W Cl
2 8
direct
0.242 0.758 0.750
0.758 0.242 0.250
0.114 0.128 0.431
0.128 0.114 0.931
0.357 0.400 0.808
0.400 0.357 0.308
0.600 0.643 0.692
0.643 0.600 0.192
0.872 0.886 0.069
0.886 0.872 0.569
```

Properties
The value obtained for the electronic total energy is -4.704 eV per atom. Its crystal system is monoclinic.

=====

What did the first record say?
DFT (GGA-PBE) results for a relaxed TmCl2 crystal.

Cell and atoms, written as POSCAR:
```
TmCl2
1.0
0.000 5.852 5.852
5.852 0.000 5.852
5.852 5.852 0.000
Tm Cl
2 4
direct
0.125 0.125 0.125
0.875 0.875 0.875
0.000 0.000 0.000
0.000 0.000 0.500
0.000 0.500 0.000
0.500 0.000 0.000
```

Properties
The value obtained for the electronic total energy is -4.109 eV per atom. Its crystal system is cubic.

=====

Repeat the sixth record exactly.
DFT (GGA-PBE) results for a relaxed TmCl2 crystal.

Cell and atoms, written as POSCAR:
```
TmCl2
1.0
1.809 -3.167 0.000
1.809 3.167 0.000
0.000 0.000 13.025
Tm Cl
2 4
direct
0.166 0.834 0.500
0.834 0.166 0.000
0.166 0.834 0.873
0.497 0.503 0.627
0.503 0.497 0.127
0.834 0.166 0.373
```

Properties
The value obtained for the electronic total energy is -4.577 eV per atom. Its crystal system is orthorhombic.